Record 1
GGA-PBEsol LiZrCd2, optimized geometry; E_tot = -3.37 eV per atom; space-group type = R3m (160); energy of formation from the pure elements = -7 meV/atom
1.0
2.988 0.000 0.000
1.494 2.587 0.000
1.494 0.862 10.401
Cd Zr Li
2 1 1
Direct
0.752 0.752 0.743
0.001 0.001 0.997
0.250 0.250 0.249
0.496 0.496 0.512

***

Record 2
GGA-PBEsol CdHg, optimized geometry; E_tot = -0.87 eV per atom; space-group type = P4/nmm (129); energy of formation from the pure elements = 14 meV/atom
1.0
3.167 0.000 0.000
0.000 3.167 0.000
0.000 0.000 8.673
Hg Cd
2 2
Direct
0.500 0.000 0.631
0.000 0.500 0.369
0.500 0.000 0.121
0.000 0.500 0.879